A crystal of YScTeIr2 relaxed with PBEsol. Source: Alexandria via LeMat-Bulk, functional SCAN.

abc: 4.869 4.869 5.247
angles: 90.00 90.00 90.00
Last column: magnetic moment on the atom in μB.
Fractional positions:
Ir 0.000 0.500 0.000  0.40
Te 0.000 0.000 0.000  0.02
Y 0.000 0.000 0.500  0.00
Ir 0.500 0.000 0.000  0.40
Sc 0.500 0.500 0.500  -0.01

ΔE_f (raw) = 0.68 eV/atom


A crystal of AlSb relaxed with PBEsol. Source: Alexandria via LeMat-Bulk, functional SCAN.

abc: 4.220 4.220 5.195
angles: 90.00 90.00 96.67
Fractional positions:
Al 0.371 0.629 0.250
Al 0.629 0.371 0.750
Sb 0.184 0.816 0.750
Sb 0.816 0.184 0.250

ΔE_f (raw) = 0.04 eV/atom


A crystal of SrZrCuP2 relaxed with PBEsol. Source: Alexandria via LeMat-Bulk, functional SCAN.

abc: 4.891 4.891 6.303
angles: 90.00 90.00 90.00
Fractional positions:
Zr 0.000 0.000 0.000
Cu 0.500 0.500 0.500
P 0.000 0.500 0.000
Sr 0.000 0.000 0.500
P 0.500 0.000 0.000


A crystal of AlP2Pb relaxed with PBEsol. Source: Alexandria via LeMat-Bulk, functional SCAN.

abc: 3.688 3.907 6.642
angles: 93.25 90.00 118.16
Fractional positions:
Pb 0.510 0.020 0.521
P 0.217 0.435 0.777
P 0.048 0.097 0.177
Al 0.724 0.448 0.025

E above lowest polymorph = 0.076 eV per atom


Number 1: DFT total energy -3.2062 Ry/atom. Number 2: DFT total energy -1.6514 Ry/atom. Number 3: DFT total energy -1.2679 Ry/atom. Number 4: DFT total energy -1.9228 Ry/atom.